Below is crystalline Lu2MgAl at its relaxed geometry, with properties calculated at the GGA-PBEsol level.

abc: 7.1177 7.1177 7.1177
angles: 90.00 90.00 90.00
Closest atoms and distances in Å follow each position.
Positions (direct):
1 Lu 0.2500 0.2500 0.2500  4 Mg 3.08, 4 Al 3.08
2 Lu 0.2500 0.2500 0.7500  4 Mg 3.08, 4 Al 3.08
3 Lu 0.2500 0.7500 0.2500  4 Mg 3.08, 4 Al 3.08
4 Lu 0.2500 0.7500 0.7500  4 Mg 3.08, 4 Al 3.08
5 Lu 0.7500 0.2500 0.2500  4 Mg 3.08, 4 Al 3.08
6 Lu 0.7500 0.2500 0.7500  4 Mg 3.08, 4 Al 3.08
7 Lu 0.7500 0.7500 0.2500  4 Mg 3.08, 4 Al 3.08
8 Lu 0.7500 0.7500 0.7500  4 Al 3.08, 4 Mg 3.08
9 Mg 0.0000 0.0000 0.0000  8 Lu 3.08
10 Mg 0.0000 0.5000 0.5000  8 Lu 3.08
11 Mg 0.5000 0.0000 0.5000  8 Lu 3.08
12 Mg 0.5000 0.5000 0.0000  8 Lu 3.08
13 Al 0.0000 0.0000 0.5000  8 Lu 3.08
14 Al 0.0000 0.5000 0.0000  8 Lu 3.08
15 Al 0.5000 0.0000 0.0000  8 Lu 3.08
16 Al 0.5000 0.5000 0.5000  8 Lu 3.08

Computed properties:
Energy ... -4.1301 eV per atom
Calculated formation energy ... -0.24 eV per atom
Size of the total moment ... 0.00 μB per formula unit



Below is crystalline LuMn6Al6 at its relaxed geometry, with properties calculated at the GGA-PBEsol level.

abc: 6.4513 6.4513 6.4513
angles: 135.75 98.81 97.50
Closest atoms and distances in Å follow each position.
Positions (direct):
1 Lu 0.0000 0.0000 0.0000  8 Al 2.89-2.92, 12 Mn 3.17-3.23
2 Mn 0.0000 0.0000 0.5000  4 Mn 2.43, 6 Al 2.50-2.58
3 Mn 0.0000 0.5000 0.0000  4 Mn 2.43, 6 Al 2.50-2.58
4 Mn 0.2393 0.7393 0.5000  4 Mn 2.43, 6 Al 2.57-2.60
5 Mn 0.5000 0.0000 0.0000  4 Mn 2.43, 6 Al 2.50-2.58
6 Mn 0.5000 0.5000 0.5000  4 Mn 2.43, 6 Al 2.50-2.58
7 Mn 0.7607 0.2607 0.5000  4 Mn 2.43, 6 Al 2.57-2.60
8 Al 0.1920 0.5000 0.6920  6 Mn 2.50-2.60, 2 Al 2.75
9 Al 0.3403 0.3403 0.0000  6 Mn 2.54-2.58, 1 Al 2.72
10 Al 0.3462 0.0000 0.3462  6 Mn 2.57-2.58, 3 Al 2.58-2.75
11 Al 0.6538 0.0000 0.6538  6 Mn 2.57-2.58, 3 Al 2.58-2.75
12 Al 0.6597 0.6597 0.0000  6 Mn 2.54-2.58, 1 Al 2.72
13 Al 0.8080 0.5000 0.3080  6 Mn 2.50-2.60, 2 Al 2.75

Computed properties:
Energy ... -6.9984 eV per atom
Calculated formation energy ... -0.23 eV per atom
Size of the total moment ... 0.00 μB per formula unit



Below is crystalline Lu3AlN at its relaxed geometry, with properties calculated at the GGA-PBEsol level.

abc: 4.5788 4.5788 4.5788
angles: 90.00 90.00 90.00
Closest atoms and distances in Å follow each position.
Positions (direct):
1 Lu 0.0000 0.0000 0.5000  2 N 2.29
2 Lu 0.0000 0.5000 0.0000  2 N 2.29
3 Lu 0.5000 0.0000 0.0000  2 N 2.29
4 Al 0.5000 0.5000 0.5000  12 Lu 3.24
5 N 0.0000 0.0000 0.0000  6 Lu 2.29

Computed properties:
Energy ... -6.5041 eV per atom
Size of the total moment ... 0.00 μB per formula unit
Formation energy from raw total energies ... -102 kJ per mole of atoms



Below is crystalline Lu2AlNi2 at its relaxed geometry, with properties calculated at the GGA-PBEsol level.

abc: 4.0997 5.2336 7.9585
angles: 90.00 90.00 90.00
Closest atoms and distances in Å follow each position.
Positions (direct):
1 Lu 0.0000 0.0000 0.2023  6 Ni 2.75-2.88, 2 Al 3.07
2 Lu 0.0000 0.0000 0.7977  6 Ni 2.75-2.88, 2 Al 3.07
3 Lu 0.5000 0.5000 0.2977  6 Ni 2.75-2.88, 2 Al 3.07
4 Lu 0.5000 0.5000 0.7023  6 Ni 2.75-2.88, 2 Al 3.07
5 Al 0.0000 0.5000 0.0000  4 Ni 2.48
6 Al 0.5000 0.0000 0.5000  4 Ni 2.48
7 Ni 0.0000 0.2672 0.5000  1 Ni 2.44, 2 Al 2.48
8 Ni 0.0000 0.7328 0.5000  1 Ni 2.44, 2 Al 2.48
9 Ni 0.5000 0.2328 0.0000  1 Ni 2.44, 2 Al 2.48
10 Ni 0.5000 0.7672 0.0000  1 Ni 2.44, 2 Al 2.48

Computed properties:
Energy ... -5.8339 eV per atom
Calculated formation energy ... -0.60 eV per atom
Size of the total moment ... 0.00 μB per formula unit



Below is crystalline LuAl3Ni2 at its relaxed geometry, with properties calculated at the GGA-PBEsol level.

abc: 5.1559 5.1559 3.9300
angles: 90.00 90.00 120.00
Closest atoms and distances in Å follow each position.
Positions (direct):
1 Lu 0.0000 0.0000 0.0000  6 Ni 2.98, 12 Al 3.24
2 Al 0.0000 0.5000 0.5000  4 Ni 2.47, 4 Al 2.58
3 Al 0.5000 0.0000 0.5000  4 Ni 2.47, 4 Al 2.58
4 Al 0.5000 0.5000 0.5000  4 Ni 2.47, 4 Al 2.58
5 Ni 0.3333 0.6667 0.0000  6 Al 2.47
6 Ni 0.6667 0.3333 0.0000  6 Al 2.47

Computed properties:
Energy ... -5.5314 eV per atom
Calculated formation energy ... -0.62 eV per atom
Size of the total moment ... 0.00 μB per formula unit



Below is crystalline LuAl2Ni at its relaxed geometry, with properties calculated at the GGA-PBEsol level.

abc: 4.0063 9.7106 6.7967
angles: 90.00 90.00 90.00
Closest atoms and distances in Å follow each position.
Positions (direct):
1 Lu 0.0000 0.0637 0.2500  3 Ni 2.70-2.94, 4 Al 3.00
2 Lu 0.0000 0.9363 0.7500  3 Ni 2.70-2.94, 4 Al 3.00
3 Lu 0.5000 0.4363 0.7500  3 Ni 2.70-2.94, 4 Al 3.00
4 Lu 0.5000 0.5637 0.2500  3 Ni 2.70-2.94, 4 Al 3.00
5 Al 0.0000 0.3486 0.0532  3 Ni 2.44-2.48, 1 Al 2.67
6 Al 0.0000 0.3486 0.4468  3 Ni 2.44-2.48, 1 Al 2.67
7 Al 0.0000 0.6514 0.5532  3 Ni 2.44-2.48, 1 Al 2.67
8 Al 0.0000 0.6514 0.9468  3 Ni 2.44-2.48, 1 Al 2.67
9 Al 0.5000 0.1514 0.5532  3 Ni 2.44-2.48, 1 Al 2.67
10 Al 0.5000 0.1514 0.9468  3 Ni 2.44-2.48, 1 Al 2.67
11 Al 0.5000 0.8486 0.0532  3 Ni 2.44-2.48, 1 Al 2.67
12 Al 0.5000 0.8486 0.4468  3 Ni 2.44-2.48, 1 Al 2.67
13 Ni 0.0000 0.2142 0.7500  6 Al 2.44-2.48, 1 Lu 2.70
14 Ni 0.0000 0.7858 0.2500  6 Al 2.44-2.48, 1 Lu 2.70
15 Ni 0.5000 0.2858 0.2500  6 Al 2.44-2.48, 1 Lu 2.70
16 Ni 0.5000 0.7142 0.7500  6 Al 2.44-2.48, 1 Lu 2.70

Computed properties:
Energy ... -5.4649 eV per atom
Calculated formation energy ... -0.66 eV per atom
Size of the total moment ... 0.00 μB per formula unit



Q: The lowest energy belongs to which entry?
A: LuMn6Al6



What did the sixth record say?
Below is crystalline LuAl2Ni at its relaxed geometry, with properties calculated at the GGA-PBEsol level.

abc: 4.0063 9.7106 6.7967
angles: 90.00 90.00 90.00
Closest atoms and distances in Å follow each position.
Positions (direct):
1 Lu 0.0000 0.0637 0.2500  3 Ni 2.70-2.94, 4 Al 3.00
2 Lu 0.0000 0.9363 0.7500  3 Ni 2.70-2.94, 4 Al 3.00
3 Lu 0.5000 0.4363 0.7500  3 Ni 2.70-2.94, 4 Al 3.00
4 Lu 0.5000 0.5637 0.2500  3 Ni 2.70-2.94, 4 Al 3.00
5 Al 0.0000 0.3486 0.0532  3 Ni 2.44-2.48, 1 Al 2.67
6 Al 0.0000 0.3486 0.4468  3 Ni 2.44-2.48, 1 Al 2.67
7 Al 0.0000 0.6514 0.5532  3 Ni 2.44-2.48, 1 Al 2.67
8 Al 0.0000 0.6514 0.9468  3 Ni 2.44-2.48, 1 Al 2.67
9 Al 0.5000 0.1514 0.5532  3 Ni 2.44-2.48, 1 Al 2.67
10 Al 0.5000 0.1514 0.9468  3 Ni 2.44-2.48, 1 Al 2.67
11 Al 0.5000 0.8486 0.0532  3 Ni 2.44-2.48, 1 Al 2.67
12 Al 0.5000 0.8486 0.4468  3 Ni 2.44-2.48, 1 Al 2.67
13 Ni 0.0000 0.2142 0.7500  6 Al 2.44-2.48, 1 Lu 2.70
14 Ni 0.0000 0.7858 0.2500  6 Al 2.44-2.48, 1 Lu 2.70
15 Ni 0.5000 0.2858 0.2500  6 Al 2.44-2.48, 1 Lu 2.70
16 Ni 0.5000 0.7142 0.7500  6 Al 2.44-2.48, 1 Lu 2.70

Computed properties:
Energy ... -5.4649 eV per atom
Calculated formation energy ... -0.66 eV per atom
Size of the total moment ... 0.00 μB per formula unit